Th3AgH | PBE-GGA | relaxed

Properties
energy	-5.69	eV/atom
N(E_F)	1.5109	states/eV/atom
total moment	0.000	μB per formula unit

POSCAR file:
```
Th3AgH
1.0
4.948 0.000 0.000
0.000 4.948 0.000
0.000 0.000 4.948
Th Ag H
3 1 1
Cartesian
0.000 0.000 2.474
0.000 2.474 0.000
2.474 0.000 0.000
2.474 2.474 2.474
0.000 0.000 0.000
```